# 1
## NaAlCoAs (PBE)

Data for NaAlCoAs after structural relaxation.

Results
SG: F-43m (216)
Energy relative to the lowest polymorph listed for this composition (meV/atom): 283.0
VASP energy (eV per cell): -15.173

```
data_NaAlCoAs
_cell_length_a 4.4562
_cell_length_b 4.4562
_cell_length_c 4.4562
_cell_angle_alpha 60.00
_cell_angle_beta 60.00
_cell_angle_gamma 60.00
_space_group_name_H-M_alt 'P 1'
_space_group_IT_number 1
loop_
_space_group_symop_operation_xyz
'x,y,z'
loop_
_atom_site_label
_atom_site_fract_x
_atom_site_fract_y
_atom_site_fract_z
Na1 0.0000 0.0000 0.0000
Al1 0.7500 0.7500 0.7500
Co1 0.2500 0.2500 0.2500
As1 0.5000 0.5000 0.5000
```

***

# 2
## NaAlCoAs (PBE)

Data for NaAlCoAs after structural relaxation.

Results
SG: F-43m (216)
Energy relative to the lowest polymorph listed for this composition (meV/atom): 0.0
VASP energy (eV per cell): -16.305

```
data_NaAlCoAs
_cell_length_a 4.3830
_cell_length_b 4.3830
_cell_length_c 4.3830
_cell_angle_alpha 60.00
_cell_angle_beta 60.00
_cell_angle_gamma 60.00
_space_group_name_H-M_alt 'P 1'
_space_group_IT_number 1
loop_
_space_group_symop_operation_xyz
'x,y,z'
loop_
_atom_site_label
_atom_site_fract_x
_atom_site_fract_y
_atom_site_fract_z
Na1 0.0000 0.0000 0.0000
Al1 0.2500 0.2500 0.2500
Co1 0.5000 0.5000 0.5000
As1 0.7500 0.7500 0.7500
```

***

# 3
## NaAlCoAs (PBE)

Data for NaAlCoAs after structural relaxation.

Results
SG: F-43m (216)
Energy relative to the lowest polymorph listed for this composition (meV/atom): 179.6
VASP energy (eV per cell): -15.586

```
data_NaAlCoAs
_cell_length_a 4.4875
_cell_length_b 4.4875
_cell_length_c 4.4875
_cell_angle_alpha 60.00
_cell_angle_beta 60.00
_cell_angle_gamma 60.00
_space_group_name_H-M_alt 'P 1'
_space_group_IT_number 1
loop_
_space_group_symop_operation_xyz
'x,y,z'
loop_
_atom_site_label
_atom_site_fract_x
_atom_site_fract_y
_atom_site_fract_z
Na1 0.0000 0.0000 0.0000
Al1 0.5000 0.5000 0.5000
Co1 0.2500 0.2500 0.2500
As1 0.7500 0.7500 0.7500
```